# TaCoPt2

Crystalline TaCoPt2 at its relaxed geometry (PBE, Alexandria via LeMat-Bulk).

Cell: 4.7837 4.7837 4.7837 Å, 132.02 132.00 70.21°
Last column: magnetic moment on the atom in μB.
Fractional coordinates of all 4 atoms:
Co (0.2500, 0.7500, 0.5000)  0.78
Pt (0.0000, 0.0000, 0.0000)  0.06
Pt (0.7499, 0.2499, 0.5000)  0.05
Ta (0.4999, 0.4999, 0.0000)  -0.14

Computed properties:
Formation enthalpy at 0 K, meV per atom: -522
SG: No. 119
Mass density, g/cm3: 17.663